First-principles (GGA-PBE) data for a geometry-optimized SmHoCl2 structure, as listed in the Alexandria database.

The calculation puts the uncorrected formation energy at -1.3085 eV per atom. The calculation puts the calculated total energy at -18.2 eV/f.u.

The structure in CIF format:
```
data_SmHoCl2
_symmetry_space_group_name_H-M 'R -3 m'
_symmetry_Int_Tables_number 166
_symmetry_space_group_name_Hall '-R 3 2"'
_cell_length_a 3.6040
_cell_length_b 3.6040
_cell_length_c 28.4366
_cell_angle_alpha 90.00
_cell_angle_beta 90.00
_cell_angle_gamma 120.00
loop_
_atom_site_label
_atom_site_type_symbol
_atom_site_fract_x
_atom_site_fract_y
_atom_site_fract_z
_atom_site_occupancy
Sm1 Sm 0.0000 0.0000 0.0000 1
Ho1 Ho 0.0000 0.0000 0.5000 1
Cl1 Cl 0.0000 0.0000 0.4052 1
```